[1]
The following is a DFT calculation (GGA-PBE) of crystalline Ho3ErAu3 at its relaxed geometry.

DFT total energy	-0.1720	hartree per atom
spin magnetization	0.00	μB per cell
ΔH_f (0 K)	-662.9	meV/atom

Lattice parameters (Å, degrees): 7.1490 7.1490 7.0570 84.75 84.75 87.98
Atoms (fractional coordinates):
Au 0.5081 0.9994 0.2600
Ho 0.3069 0.3069 0.4950
Ho 0.7254 0.2746 0.0000
Au 0.9994 0.5081 0.2600
Au 0.0419 0.0419 0.7866
Au 0.0006 0.4919 0.7400
Ho 0.2746 0.7254 0.0000
Er 0.7618 0.7618 0.9762
Er 0.2382 0.2382 0.0238
Ho 0.6931 0.6931 0.5050
Au 0.9581 0.9581 0.2134
Au 0.4919 0.0006 0.7400
Ho 0.8023 0.1977 0.5000
Ho 0.1977 0.8023 0.5000


[2]
The following is a DFT calculation (GGA-PBE) of crystalline CeAl2ZnSi at its relaxed geometry.

DFT total energy	-0.1491	hartree per atom
spin magnetization	1.53	μB per cell
raw formation energy	-34	meV/atom

Lattice parameters (Å, degrees): 5.6580 5.6580 8.4271 109.62 109.62 90.00
Site moments in Bohr magnetons follow the coordinates.
Atoms (fractional coordinates):
Zn 0.0523 0.0523 0.1046  -0.01
Al 0.6861 0.1861 0.8722  0.00
Al 0.6861 0.6861 0.8722  0.00
Ce 0.7590 0.7590 0.5179  0.66
Ce 0.2590 0.2590 0.5179  0.66
Al 0.1861 0.1861 0.8722  0.00
Si 0.8168 0.3168 0.6336  0.00
Al 0.1861 0.6861 0.8722  0.00
Si 0.3168 0.8168 0.6336  0.00
Zn 0.5523 0.5523 0.1046  -0.01


[3]
The following is a DFT calculation (GGA-PBE) of crystalline KTa2Cu at its relaxed geometry.

DFT total energy	-0.2149	hartree per atom
spin magnetization	0.00	μB per cell
ΔH_f (0 K)	1377.2	meV/atom

Lattice parameters (Å, degrees): 3.9286 3.9286 11.4066 80.08 80.08 90.00
Atoms (fractional coordinates):
K 0.2500 0.7500 0.5000
Cu 0.7500 0.2500 0.5000
Ta 0.1028 0.6250 0.2500
Ta 0.3750 0.3528 0.7500
Ta 0.8750 0.8972 0.7500
Cu 0.0000 0.0000 0.0000
K 0.5000 0.5000 0.0000
Ta 0.6472 0.1250 0.2500


[4]
The following is a DFT calculation (GGA-PBE) of crystalline Sm5HoMg3 at its relaxed geometry.

DFT total energy	-0.1346	hartree per atom
spin magnetization	0.00	μB per cell
ΔH_f (0 K)	0.5	meV/atom

Lattice parameters (Å, degrees): 6.9939 9.5083 9.5082 120.00 90.00 90.00
Atoms (fractional coordinates):
Mg 0.2500 0.3316 0.0000
Sm 0.5000 0.3333 0.6667
Mg 0.2500 0.6684 0.6684
Sm 0.0000 0.3333 0.6667
Sm 0.7500 0.0000 0.3316
Ho 0.0000 0.0000 0.0000
Sm 0.2500 0.6684 0.0000
Mg 0.2500 0.0000 0.3316
Sm 0.5000 0.6667 0.3333
Ho 0.5000 0.0000 0.0000
Sm 0.7500 0.6684 0.6684
Sm 0.2500 0.3316 0.3316
Mg 0.7500 0.0000 0.6684
Sm 0.7500 0.3316 0.0000
Sm 0.2500 0.0000 0.6684
Mg 0.7500 0.3316 0.3316
Mg 0.7500 0.6684 0.0000
Sm 0.0000 0.6667 0.3333


[5]
The following is a DFT calculation (GGA-PBE) of crystalline Co2NiW at its relaxed geometry.

DFT total energy	-0.3005	hartree per atom
spin magnetization	1.89	μB per cell
ΔH_f (0 K)	60.0	meV/atom

Lattice parameters (Å, degrees): 2.6305 3.5950 5.1011 90.00 90.00 90.00
Site moments in Bohr magnetons follow the coordinates.
Atoms (fractional coordinates):
W 0.5000 0.5000 0.7530  -0.09
Co 0.5000 0.5000 0.2472  1.28
Co 0.0000 0.0000 0.0123  0.68
Ni 0.0000 0.0000 0.4875  0.09


[6]
The following is a DFT calculation (GGA-PBE) of crystalline BeFePb4 at its relaxed geometry.

DFT total energy	-0.1255	hartree per atom
spin magnetization	3.29	μB per cell
ΔH_f (0 K)	1089.8	meV/atom

Lattice parameters (Å, degrees): 6.3335 6.3335 6.3335 60.00 60.00 60.00
Site moments in Bohr magnetons follow the coordinates.
Atoms (fractional coordinates):
Pb 0.3749 0.3749 0.8753  -0.02
Fe 0.0000 0.0000 0.0000  3.23
Pb 0.8753 0.3749 0.3749  -0.02
Be 0.7500 0.7500 0.7500  0.01
Pb 0.3749 0.8753 0.3749  -0.02
Pb 0.3749 0.3749 0.3749  -0.02


[7]
The following is a DFT calculation (GGA-PBE) of crystalline PuZrIr2 at its relaxed geometry.

DFT total energy	-0.3947	hartree per atom
spin magnetization	4.99	μB per cell
ΔH_f (0 K)	-590.3	meV/atom

Lattice parameters (Å, degrees): 3.3215 3.3215 6.9987 90.00 90.00 90.00
Site moments in Bohr magnetons follow the coordinates.
Atoms (fractional coordinates):
Ir 0.0000 0.0000 0.2233  -0.24
Zr 0.5000 0.5000 0.0000  0.11
Ir 0.0000 0.0000 0.7767  -0.24
Pu 0.5000 0.5000 0.5000  5.09


[8]
The following is a DFT calculation (GGA-PBE) of crystalline Fe6WN4 at its relaxed geometry.

DFT total energy	-0.3180	hartree per atom
spin magnetization	6.71	μB per cell
raw formation energy	167	meV/atom

Lattice parameters (Å, degrees): 6.7497 6.7497 4.6352 90.00 90.00 90.00
Site moments in Bohr magnetons follow the coordinates.
Atoms (fractional coordinates):
Fe 0.8074 0.1926 0.5000  1.35
Fe 0.1926 0.8074 0.5000  1.35
Fe 0.1926 0.1926 0.5000  1.35
Fe 0.6926 0.6926 0.0000  1.35
Fe 0.3074 0.3074 0.0000  1.35
Fe 0.0000 0.5000 0.9803  -0.80
Fe 0.5000 0.0000 0.5197  -0.80
N 0.2704 0.0000 0.7888  -0.01
Fe 0.6926 0.3074 0.0000  1.35
Fe 0.3074 0.6926 0.0000  1.35
Fe 0.8074 0.8074 0.5000  1.35
N 0.7704 0.5000 0.7112  -0.01
N 0.7296 0.0000 0.7888  -0.01
W 0.5000 0.5000 0.5000  -0.29
N 0.5000 0.2296 0.2888  -0.01
N 0.2296 0.5000 0.7112  -0.01
Fe 0.0000 0.5000 0.4803  -0.80
Fe 0.5000 0.0000 0.0197  -0.80
N 0.0000 0.7296 0.2112  -0.01
N 0.5000 0.7704 0.2888  -0.01
N 0.0000 0.2704 0.2112  -0.01
W 0.0000 0.0000 0.0000  -0.29


Q: Which formula does entry 7 have?
A: PuZrIr2


Q: What is the DFT total energy in the first record?
A: -0.1720 hartree per atom


Q: What is the DFT total energy in the fourth record?
A: -0.1346 hartree per atom